Below is a relaxed structure of CdSbO, with properties calculated at the PBE level.

## Properties
formation energy from raw total energies = -0.61 eV per atom
total moment = 0.0 Bohr magnetons per cell
E_tot = -11.83 eV/f.u.
space group = Pm, No. 6
energy above the most stable polymorph in this dataset = 3.14 kJ per mole of atoms

a = 5.3722 Å, b = 3.2482 Å, c = 7.8092 Å
α = 90.00°, β = 90.15°, γ = 90.00°
Atoms (fractional coordinates):
Cd (0.0574, 0.0000, 0.7302)
Cd (0.5283, 0.0000, 0.5172)
Sb (0.5696, 0.5000, 0.9777)
Sb (0.0140, 0.0000, 0.3631)
O (0.9201, 0.5000, 0.9034)
O (0.4216, 0.5000, 0.7382)

Below is a relaxed structure of NbNiB2, with properties calculated at the PBE level.

## Properties
ΔE_f = -0.63 eV/atom
total moment = 0.0 Bohr magnetons per cell
E_tot = -31.71 eV/f.u.
space group = Pnma, No. 62
energy above the most stable polymorph in this dataset = 0.00 kJ per mole of atoms

a = 3.1365 Å, b = 6.0549 Å, c = 8.2130 Å
α = 90.00°, β = 90.00°, γ = 90.00°
Atoms (fractional coordinates):
Nb (0.7500, 0.8691, 0.1323)
Nb (0.2500, 0.1309, 0.8677)
Nb (0.7500, 0.3691, 0.3677)
Nb (0.2500, 0.6309, 0.6323)
Ni (0.2500, 0.5006, 0.1155)
Ni (0.2500, 0.0006, 0.3845)
Ni (0.7500, 0.4994, 0.8845)
Ni (0.7500, 0.9994, 0.6155)
B (0.7500, 0.8263, 0.8320)
B (0.2500, 0.1737, 0.1680)
B (0.7500, 0.3263, 0.6680)
B (0.2500, 0.6737, 0.3320)
B (0.7500, 0.7599, 0.4230)
B (0.2500, 0.7401, 0.9230)
B (0.7500, 0.2599, 0.0770)
B (0.2500, 0.2401, 0.5770)

Below is a relaxed structure of Ac5PmPt4, with properties calculated at the PBE level.

## Properties
ΔE_f = -0.95 eV/atom
total moment = 0.0 Bohr magnetons per cell
E_tot = -58.92 eV/f.u.
space group = C2/m, No. 12

a = 4.3720 Å, b = 8.6140 Å, c = 9.7157 Å
α = 104.01°, β = 103.00°, γ = 90.00°
Atoms (fractional coordinates):
Ac (0.8382, 0.6716, 0.6764)
Ac (0.8332, 0.1516, 0.6663)
Ac (0.1668, 0.8484, 0.3337)
Ac (0.5000, 0.5000, 0.0000)
Ac (0.1618, 0.3284, 0.3236)
Pm (0.5000, 0.0000, 0.0000)
Pt (0.3337, 0.9072, 0.6675)
Pt (0.0006, 0.7515, 0.0011)
Pt (0.6663, 0.0928, 0.3325)
Pt (0.9994, 0.2485, 0.9989)

Below is a relaxed structure of Nd2CoH, with properties calculated at the PBE level.

## Properties
total moment = 0.0 Bohr magnetons per cell
E_tot = -20.57 eV/f.u.
space group = R-3m, No. 166
energy above the most stable polymorph in this dataset = 0.00 kJ per mole of atoms

a = 3.9070 Å, b = 3.9070 Å, c = 6.6151 Å
α = 72.82°, β = 72.82°, γ = 60.00°
Atoms (fractional coordinates):
Co (0.0000, 0.0000, 0.0000)
Nd (0.7517, 0.7517, 0.7449)
Nd (0.2483, 0.2483, 0.2551)
H (0.5000, 0.5000, 0.5000)

Below is a relaxed structure of Hf4TiBi3, with properties calculated at the PBE level.

## Properties
ΔE_f = 0.02 eV/atom
total moment = 0.0 Bohr magnetons per cell
E_tot = -59.17 eV/f.u.
space group = Pmn2_1, No. 31

a = 5.8035 Å, b = 6.1332 Å, c = 10.8821 Å
α = 90.00°, β = 90.00°, γ = 90.00°
Atoms (fractional coordinates):
Hf (0.9964, 0.8771, 0.0000)
Hf (0.7771, 0.3310, 0.0000)
Hf (0.0048, 0.1372, 0.2428)
Hf (0.5048, 0.8628, 0.2572)
Hf (0.2771, 0.6690, 0.5000)
Hf (0.4964, 0.1229, 0.5000)
Hf (0.5048, 0.8628, 0.7428)
Hf (0.0048, 0.1372, 0.7572)
Ti (0.2459, 0.3036, 0.0000)
Ti (0.7459, 0.6964, 0.5000)
Bi (0.4903, 0.7619, 0.0000)
Bi (0.9980, 0.6521, 0.2507)
Bi (0.4980, 0.3479, 0.2493)
Bi (0.9903, 0.2381, 0.5000)
Bi (0.4980, 0.3479, 0.7507)
Bi (0.9980, 0.6521, 0.7493)

Below is a relaxed structure of La5Pt2O12, with properties calculated at the PBE level.

## Properties
formation energy from raw total energies = -2.52 eV per atom
total moment = 0.0 Bohr magnetons per cell
E_tot = -144.03 eV/f.u.
space group = C2/m, No. 12

a = 6.2094 Å, b = 7.2251 Å, c = 7.7050 Å
α = 105.42°, β = 90.00°, γ = 115.45°
Atoms (fractional coordinates):
La (0.3040, 0.6081, 0.6419)
La (0.3041, 0.6082, 0.1628)
La (0.0000, 0.0000, 0.5000)
La (0.6959, 0.3918, 0.8372)
La (0.6960, 0.3919, 0.3581)
Pt (0.7530, 0.0000, 0.0000)
Pt (0.2470, 0.0000, 0.0000)
O (0.9999, 0.9997, 0.1693)
O (0.0994, 0.6755, 0.9186)
O (0.5762, 0.6755, 0.9186)
O (0.0939, 0.6940, 0.4240)
O (0.6002, 0.6940, 0.4240)
O (0.5008, 0.0016, 0.8289)
O (0.4992, 0.9984, 0.1711)
O (0.9061, 0.3060, 0.5760)
O (0.3998, 0.3060, 0.5760)
O (0.9006, 0.3245, 0.0814)
O (0.4238, 0.3245, 0.0814)
O (0.0001, 0.0003, 0.8307)

Below is a relaxed structure of CaPu2Sb2Au2, with properties calculated at the PBE level.

## Properties
formation energy from raw total energies = -0.54 eV per atom
total moment = 11.9 Bohr magnetons per cell
E_tot = -49.22 eV/f.u.
space group = R-3m, No. 166

a = 4.8723 Å, b = 4.8723 Å, c = 9.2903 Å
α = 74.80°, β = 74.80°, γ = 60.00°
Site moments in Bohr magnetons follow the coordinates.
Atoms (fractional coordinates):
Ca (0.0000, 0.0000, 0.0000)  0.04
Pu (0.1437, 0.1437, 0.5689)  5.60
Pu (0.8563, 0.8563, 0.4311)  5.60
Sb (0.7351, 0.7351, 0.7947)  -0.02
Sb (0.2649, 0.2649, 0.2053)  -0.02
Au (0.5603, 0.5603, 0.3190)  0.03
Au (0.4397, 0.4397, 0.6810)  0.03

Below is a relaxed structure of Be2AuCl, with properties calculated at the PBE level.

## Properties
formation energy from raw total energies = 0.61 eV per atom
total moment = 0.0 Bohr magnetons per cell
E_tot = -10.13 eV/f.u.
space group = I4/mmm, No. 139
energy above the most stable polymorph in this dataset = 77.93 kJ per mole of atoms

a = 4.5906 Å, b = 4.5906 Å, c = 4.5906 Å
α = 127.92°, β = 127.92°, γ = 76.76°
Atoms (fractional coordinates):
Be (0.0000, 0.0000, 0.0000)
Be (0.5000, 0.5000, 0.0000)
Au (0.7500, 0.2500, 0.5000)
Cl (0.2500, 0.7500, 0.5000)

Below is a relaxed structure of RbMn2Ni, with properties calculated at the PBE level.

## Properties
ΔE_f = 0.95 eV/atom
total moment = 17.8 Bohr magnetons per cell
E_tot = -21.28 eV/f.u.
space group = I4_1/amd, No. 141
energy above the most stable polymorph in this dataset = 0.00 kJ per mole of atoms

a = 5.6632 Å, b = 5.6632 Å, c = 8.5295 Å
α = 70.61°, β = 70.61°, γ = 90.00°
Site moments in Bohr magnetons follow the coordinates.
Atoms (fractional coordinates):
Ni (0.5000, 0.5000, 0.0000)  0.60
Ni (0.2500, 0.7500, 0.5000)  0.60
Mn (0.3750, 0.1250, 0.2500)  3.88
Mn (0.3750, 0.6250, 0.2500)  3.89
Mn (0.3750, 0.6250, 0.7500)  3.91
Mn (0.8750, 0.6250, 0.7500)  3.92
Rb (0.0000, 0.0000, 0.0000)  0.00
Rb (0.7500, 0.2500, 0.5000)  0.00

Below is a relaxed structure of Tb2Ge3Pt5, with properties calculated at the PBE level.

## Properties
ΔE_f = -0.88 eV/atom
total moment = 0.0 Bohr magnetons per cell
E_tot = -62.16 eV/f.u.
space group = Cmc2_1, No. 36
energy above the most stable polymorph in this dataset = 0.48 kJ per mole of atoms

a = 4.3637 Å, b = 6.9581 Å, c = 12.0849 Å
α = 90.00°, β = 100.40°, γ = 90.00°
Atoms (fractional coordinates):
Tb (0.4780, 0.7632, 0.9559)
Tb (0.1748, 0.7406, 0.3495)
Tb (0.8252, 0.2406, 0.6505)
Tb (0.5220, 0.2632, 0.0441)
Ge (0.7735, 0.6677, 0.5470)
Ge (0.6019, 0.5955, 0.2038)
Ge (0.0535, 0.9548, 0.1070)
Ge (0.2265, 0.1677, 0.4530)
Ge (0.9465, 0.4548, 0.8930)
Ge (0.3981, 0.0955, 0.7962)
Pt (0.3897, 0.4664, 0.7795)
Pt (0.2720, 0.4839, 0.5439)
Pt (0.7280, 0.9839, 0.4561)
Pt (0.1230, 0.2385, 0.2460)
Pt (0.3099, 0.8921, 0.6198)
Pt (0.9503, 0.0622, 0.9005)
Pt (0.6901, 0.3921, 0.3802)
Pt (0.8770, 0.7385, 0.7540)
Pt (0.0497, 0.5622, 0.0995)
Pt (0.6103, 0.9664, 0.2205)

Below is a relaxed structure of Na2AcInTe4, with properties calculated at the PBE level.

## Properties
formation energy from raw total energies = -0.92 eV per atom
total moment = 0.0 Bohr magnetons per cell
E_tot = -29.42 eV/f.u.
space group = C2/c, No. 15

a = 9.2139 Å, b = 9.2139 Å, c = 9.5104 Å
α = 121.07°, β = 121.07°, γ = 90.21°
Atoms (fractional coordinates):
Na (0.5000, 0.0000, 0.0000)
Na (0.5000, 0.0000, 0.5000)
Na (0.0000, 0.0000, 0.5000)
Na (0.5000, 0.5000, 0.0000)
Ac (0.0000, 0.5000, 0.0000)
Ac (0.0000, 0.5000, 0.5000)
In (0.5000, 0.5000, 0.5000)
In (0.0000, 0.0000, 0.0000)
Te (0.2569, 0.7565, 0.0067)
Te (0.7435, 0.2431, 0.4933)
Te (0.2565, 0.7569, 0.5067)
Te (0.7431, 0.2435, 0.9933)
Te (0.7451, 0.7562, 0.9675)
Te (0.7438, 0.7549, 0.5325)
Te (0.2562, 0.2451, 0.4675)
Te (0.2549, 0.2438, 0.0325)

Below is a relaxed structure of Nd2Y3Er6, with properties calculated at the PBE level.

## Properties
ΔE_f = 0.19 eV/atom
total moment = 0.0 Bohr magnetons per cell
E_tot = -54.21 eV/f.u.
space group = C2/m, No. 12
energy above the most stable polymorph in this dataset = 0.00 kJ per mole of atoms

a = 6.1021 Å, b = 6.1088 Å, c = 11.6730 Å
α = 84.97°, β = 79.89°, γ = 60.04°
Atoms (fractional coordinates):
Nd (0.1666, 0.6667, 0.5000)
Nd (0.8334, 0.3333, 0.5000)
Y (0.0000, 0.0000, 0.0000)
Y (0.3350, 0.3300, 0.0000)
Y (0.6650, 0.6700, 0.0000)
Er (0.4162, 0.6664, 0.7521)
Er (0.7497, 0.0000, 0.7518)
Er (0.0826, 0.3336, 0.7521)
Er (0.2503, 0.0000, 0.2482)
Er (0.5838, 0.3336, 0.2479)
Er (0.9174, 0.6664, 0.2479)